No. 1
Compound: Ca4CdSi
Source: Alexandria
Functional: PBE
Structure: optimized geometry

Summary:
theoretical density: 2.516 Mg/m³
M_tot: 0.000 μB/f.u.
raw total energy: -11.68 eV per cell

POSCAR file:
```
Ca4CdSi
1.0
-1.208 -6.195 1.746
-6.028 -2.472 -0.660
-1.202 -4.519 -4.584
Ca Cd Si
4 1 1
Cartesian
-3.765 -8.051 -0.430 Ca
-3.762 -7.208 -3.616 Ca
-6.191 -6.178 -1.641 Ca
-3.157 -4.934 -1.309 Ca
-6.328 -9.890 -2.623 Cd
0.000 0.000 0.000 Si
```

---

No. 2
Compound: PuSc2In
Source: Alexandria
Functional: PBE
Structure: optimized geometry

Summary:
excess energy over the best structure of this formula in the dataset: 16 kJ/mol of formula units
DFT formation energy: -0.49 eV/f.u.
theoretical density: 8.027 Mg/m³
M_tot: 6.054 μB/f.u.
raw total energy: -30.22 eV per cell

POSCAR file:
```
PuSc2In
1.0
-3.063 0.257 -1.620
-1.894 -3.772 2.983
-1.538 3.513 3.465
Sc In Pu
2 1 1
Cartesian
-0.769 1.756 1.733 Sc
-0.947 -1.886 1.491 Sc
-3.248 -0.001 2.414 In
-1.532 0.129 -0.810 Pu
```

---

No. 3
Compound: TbTmSc
Source: Alexandria
Functional: PBE
Structure: optimized geometry

Summary:
excess energy over the best structure of this formula in the dataset: 56 kJ/mol of formula units
DFT formation energy: 0.71 eV/f.u.
theoretical density: 6.994 Mg/m³
M_tot: 0.000 μB/f.u.
raw total energy: -29.45 eV per cell

POSCAR file:
```
TbTmSc
1.0
3.358 0.000 0.000
0.000 8.569 0.000
0.000 0.000 6.153
Tb Sc Tm
2 2 2
Cartesian
1.679 1.601 1.538 Tb
1.679 6.968 4.615 Tb
0.000 1.293 4.615 Sc
0.000 7.276 1.538 Sc
0.000 4.284 3.077 Tm
0.000 4.284 0.000 Tm
```